No. 1
Computed, not measured: an optimized crystal structure of Ac4LaHg at the PBE level of DFT.

```
data_Ac4LaHg
_cell_length_a 3.9792
_cell_length_b 3.9792
_cell_length_c 15.0945
_cell_angle_alpha 90.00
_cell_angle_beta 90.00
_cell_angle_gamma 90.00
_space_group_name_H-M_alt 'P 4/m m m'
_space_group_IT_number 123
_space_group_name_Hall '-P 4 2'
loop_
_atom_site_label
_atom_site_type_symbol
_atom_site_fract_x
_atom_site_fract_y
_atom_site_fract_z
_atom_site_occupancy
Ac1 Ac 0.0000 0.0000 0.1370 1
Ac2 Ac 0.5000 0.5000 0.3250 1
La1 La 0.0000 0.0000 0.5000 1
Hg1 Hg 0.5000 0.5000 0.0000 1
```

Output
Offset from the most stable computed form: 0 meV/atom

---

No. 2
Computed, not measured: an optimized crystal structure of IrPb3Se at the PBE level of DFT.

```
data_IrPb3Se
_cell_length_a 5.3151
_cell_length_b 5.3151
_cell_length_c 5.3151
_cell_angle_alpha 90.00
_cell_angle_beta 90.00
_cell_angle_gamma 90.00
_space_group_name_H-M_alt 'P m -3 m'
_space_group_IT_number 221
_space_group_name_Hall '-P 4 2 3'
loop_
_atom_site_label
_atom_site_type_symbol
_atom_site_fract_x
_atom_site_fract_y
_atom_site_fract_z
_atom_site_occupancy
Ir1 Ir 0.0000 0.0000 0.0000 1
Pb1 Pb 0.0000 0.0000 0.5000 1
Se1 Se 0.5000 0.5000 0.5000 1
```

Output
Offset from the most stable computed form: 0 meV/atom
Formation energy (no corrections): 0.092 eV per atom

---

No. 3
Computed, not measured: an optimized crystal structure of AlV2I8 at the PBE level of DFT.

```
data_AlV2I8
_cell_length_a 14.0050
_cell_length_b 8.7710
_cell_length_c 8.4239
_cell_angle_alpha 90.00
_cell_angle_beta 95.64
_cell_angle_gamma 90.00
_space_group_name_H-M_alt 'C 1 2/m 1'
_space_group_IT_number 12
loop_
_space_group_symop_operation_xyz
'x,y,z'
'-x,-y,-z'
'-x,y,-z'
'x,-y,z'
'x+1/2,y+1/2,z'
'-x+1/2,-y+1/2,-z'
'-x+1/2,y+1/2,-z'
'x+1/2,-y+1/2,z'
loop_
_atom_site_label
_atom_site_type_symbol
_atom_site_fract_x
_atom_site_fract_y
_atom_site_fract_z
_atom_site_occupancy
Al1 Al 0.0000 0.0000 0.0000 1
V1 V 0.1257 0.0000 0.3638 1
I1 I 0.0808 0.0000 0.6870 1
I2 I 0.1226 0.2165 0.1324 1
I3 I 0.1904 0.5000 0.5456 1
```

Output
Formation energy (no corrections): -0.346 eV per atom

---

No. 4
Computed, not measured: an optimized crystal structure of ZrNi2HPd at the PBE level of DFT.

```
data_ZrNi2HPd
_cell_length_a 4.0506
_cell_length_b 4.0506
_cell_length_c 3.6998
_cell_angle_alpha 90.00
_cell_angle_beta 90.00
_cell_angle_gamma 90.00
_space_group_name_H-M_alt 'P 4/m m m'
_space_group_IT_number 123
_space_group_name_Hall '-P 4 2'
loop_
_atom_site_label
_atom_site_type_symbol
_atom_site_fract_x
_atom_site_fract_y
_atom_site_fract_z
_atom_site_occupancy
Zr1 Zr 0.0000 0.0000 0.0000 1
Ni1 Ni 0.0000 0.5000 0.5000 1
H1 H 0.5000 0.5000 0.5000 1
Pd1 Pd 0.5000 0.5000 0.0000 1
```

Output
Offset from the most stable computed form: 90 meV/atom

---

No. 5
Computed, not measured: an optimized crystal structure of Mg3CdCu at the PBE level of DFT.

```
data_Mg3CdCu
_cell_length_a 4.9128
_cell_length_b 4.9128
_cell_length_c 4.9128
_cell_angle_alpha 90.00
_cell_angle_beta 90.00
_cell_angle_gamma 90.00
_space_group_name_H-M_alt 'P m -3 m'
_space_group_IT_number 221
_space_group_name_Hall '-P 4 2 3'
loop_
_atom_site_label
_atom_site_type_symbol
_atom_site_fract_x
_atom_site_fract_y
_atom_site_fract_z
_atom_site_occupancy
Mg1 Mg 0.0000 0.0000 0.5000 1
Cd1 Cd 0.5000 0.5000 0.5000 1
Cu1 Cu 0.0000 0.0000 0.0000 1
```

Output
Offset from the most stable computed form: 193 meV/atom

---

No. 6
Computed, not measured: an optimized crystal structure of AcLuGePb at the PBE level of DFT.

```
data_AcLuGePb
_cell_length_a 7.7396
_cell_length_b 7.7396
_cell_length_c 7.7396
_cell_angle_alpha 90.00
_cell_angle_beta 90.00
_cell_angle_gamma 90.00
_space_group_name_H-M_alt 'F -4 3 m'
_space_group_IT_number 216
_space_group_name_Hall 'F -4 2 3'
loop_
_atom_site_label
_atom_site_type_symbol
_atom_site_fract_x
_atom_site_fract_y
_atom_site_fract_z
_atom_site_occupancy
Ac1 Ac 0.0000 0.0000 0.0000 1
Lu1 Lu 0.0000 0.0000 0.5000 1
Ge1 Ge 0.2500 0.2500 0.2500 1
Pb1 Pb 0.2500 0.2500 0.7500 1
```

Output
E: -4.60 eV/atom

---

No. 7
Computed, not measured: an optimized crystal structure of ZrSiTcRh at the PBE level of DFT.

```
data_ZrSiTcRh
_cell_length_a 6.2606
_cell_length_b 6.2606
_cell_length_c 6.2606
_cell_angle_alpha 90.00
_cell_angle_beta 90.00
_cell_angle_gamma 90.00
_space_group_name_H-M_alt 'F -4 3 m'
_space_group_IT_number 216
_space_group_name_Hall 'F -4 2 3'
loop_
_atom_site_label
_atom_site_type_symbol
_atom_site_fract_x
_atom_site_fract_y
_atom_site_fract_z
_atom_site_occupancy
Zr1 Zr 0.0000 0.0000 0.0000 1
Si1 Si 0.0000 0.0000 0.5000 1
Tc1 Tc 0.2500 0.2500 0.2500 1
Rh1 Rh 0.2500 0.2500 0.7500 1
```

Output
Formation energy (no corrections): -0.660 eV per atom

---

No. 8
Computed, not measured: an optimized crystal structure of HgP2WS at the PBE level of DFT.

```
data_HgP2WS
_cell_length_a 4.8027
_cell_length_b 4.8027
_cell_length_c 4.7604
_cell_angle_alpha 90.00
_cell_angle_beta 90.00
_cell_angle_gamma 90.00
_space_group_name_H-M_alt 'P 4/m m m'
_space_group_IT_number 123
_space_group_name_Hall '-P 4 2'
loop_
_atom_site_label
_atom_site_type_symbol
_atom_site_fract_x
_atom_site_fract_y
_atom_site_fract_z
_atom_site_occupancy
Hg1 Hg 0.0000 0.0000 0.0000 1
P1 P 0.0000 0.5000 0.0000 1
W1 W 0.5000 0.5000 0.5000 1
S1 S 0.0000 0.0000 0.5000 1
```

Output
Offset from the most stable computed form: 1764 meV/atom
Formation energy (no corrections): 2.130 eV per atom